Record 1
AcTbHoAl | PBE | relaxed

a b c (Å): 5.508 5.508 5.508
angles (deg): 60.00 60.00 60.00
Positions (direct):
Ac1 0.000 0.000 0.000
Tb1 0.250 0.250 0.250
Ho1 0.750 0.750 0.750
Al1 0.500 0.500 0.500

---

Record 2
Li2Ce2CuO6 | PBE | relaxed

a b c (Å): 6.070 6.070 6.070
angles (deg): 57.05 57.05 57.05
Positions (direct):
Li1 0.081 0.081 0.081
Li2 0.919 0.919 0.919
Ce1 0.309 0.309 0.309
Ce2 0.691 0.691 0.691
Cu1 0.500 0.500 0.500
O1 0.254 0.254 0.711
O2 0.254 0.711 0.254
O3 0.289 0.746 0.746
O4 0.711 0.254 0.254
O5 0.746 0.289 0.746
O6 0.746 0.746 0.289

## Properties
Raw formation energy, eV per atom: -2.01

---

Record 3
Ba2LiMgH6 | PBE | relaxed

a b c (Å): 5.782 5.782 5.782
angles (deg): 120.10 119.93 89.98
Positions (direct):
Ba1 0.250 0.250 0.000
Ba2 0.750 0.750 0.000
Li1 0.500 0.000 0.500
Mg1 0.000 0.500 0.500
H1 0.245 0.255 0.500
H2 0.245 0.745 0.500
H3 0.245 0.745 0.990
H4 0.755 0.255 0.010
H5 0.755 0.255 0.500
H6 0.755 0.745 0.500

---

Record 4
Dy3TmIn4Te8 | PBE | relaxed

a b c (Å): 9.571 9.571 9.571
angles (deg): 54.77 54.77 54.77
Positions (direct):
Dy1 0.000 0.500 0.500
Dy2 0.500 0.000 0.500
Dy3 0.500 0.500 0.000
Tm1 0.000 0.000 0.000
In1 0.000 0.000 0.500
In2 0.000 0.500 0.000
In3 0.500 0.000 0.000
In4 0.500 0.500 0.500
Te1 0.238 0.238 0.742
Te2 0.238 0.742 0.238
Te3 0.258 0.762 0.762
Te4 0.260 0.260 0.260
Te5 0.740 0.740 0.740
Te6 0.742 0.238 0.238
Te7 0.762 0.258 0.762
Te8 0.762 0.762 0.258

## Properties
Raw formation energy, eV per atom: -0.96

---

no.,spin magnetization (μB/f.u.),E_tot (eV/atom)
1,0.019,-4.179
2,0.955,-6.518
3,0.489,-3.131
4,0.000,-4.361